A relaxed structure of RhSe2BrN. Source: the Alexandria database, functional PBE-GGA.

Fermi-level density of states: 4.7 states/eV/cell
total magnetization: 0.0000 μB/atom
excess energy over the best structure of this formula in the dataset: 0.000 eV/atom

Cell lengths 5.234, 5.234, 3.645 Å; angles 90.00, 90.00, 90.00 degrees
Element x y z (fractional)
Rh 0.000 0.000 0.000
Se 0.000 0.500 0.000
Se 0.500 0.000 0.000
Br 0.500 0.500 0.500
N 0.000 0.000 0.500